(1)
{"formula": "NdTmCuPd", "functional": "GGA-PBE", "state": "relaxed", "n_ef_per_ev_cell": 2.350, "delta_e_f_ev_per_fu": -2.1, "spacegroup": "F-43m", "polymorph_energy_mev_per_atom": 30, "lattice_angstrom": [[0.000, 3.534, 3.534], [3.534, 0.000, 3.534], [3.534, 3.534, 0.000]], "species": ["Nd", "Tm", "Cu", "Pd"], "frac_coords": [[0.000, 0.000, 0.000], [0.500, 0.500, 0.500], [0.750, 0.750, 0.750], [0.250, 0.250, 0.250]]}

(2)
{"formula": "NdTmCuPd", "functional": "GGA-PBE", "state": "relaxed", "n_ef_per_ev_cell": 2.697, "delta_e_f_ev_per_fu": -2.2, "spacegroup": "Amm2", "polymorph_energy_mev_per_atom": 0, "lattice_angstrom": [[4.599, 0.000, 0.000], [0.000, 1.899, 5.235], [0.000, -1.899, 5.235]], "species": ["Nd", "Tm", "Cu", "Pd"], "frac_coords": [[0.000, 0.000, 0.000], [0.500, 0.722, 0.722], [0.000, 0.280, 0.280], [0.500, 0.432, 0.432]]}

(3)
{"formula": "NdYCuPd", "functional": "GGA-PBE", "state": "relaxed", "n_ef_per_ev_cell": 2.980, "delta_e_f_ev_per_fu": -2.1, "spacegroup": "Amm2", "polymorph_energy_mev_per_atom": 0, "lattice_angstrom": [[4.568, 0.000, 0.000], [0.000, 1.907, 5.369], [0.000, -1.907, 5.369]], "species": ["Nd", "Y", "Cu", "Pd"], "frac_coords": [[0.000, 0.000, 0.000], [0.500, 0.277, 0.277], [0.500, 0.564, 0.564], [0.000, 0.718, 0.718]]}

Number 3 is which compound?
NdYCuPd